1.
Material: NaHfCuSe3
Method: DFT, PBE
State: relaxed

Summary:
total moment: 0.0 μB per formula unit
E_tot: -5.301 eV/atom

Unit cell a=13.574 b=3.831 c=10.275 alpha=90.00 beta=90.00 gamma=90.00
Space group Pnma (No. 62)
Inequivalent atoms, fractional coordinates:
Na 0.229 0.250 0.041 (multiplicity 4)
Hf 0.011 0.250 0.322 (multiplicity 4)
Cu 0.009 0.750 0.091 (multiplicity 4)
Se 0.102 0.250 0.564 (multiplicity 4)
Se 0.106 0.750 0.879 (multiplicity 4)
Se 0.139 0.750 0.254 (multiplicity 4)

---

2.
Material: NaHfCuSe3
Method: DFT, PBE
State: relaxed

Summary:
total moment: 0.0 μB per formula unit
E_tot: -5.299 eV/atom

Unit cell a=7.661 b=3.827 c=9.533 alpha=90.00 beta=107.63 gamma=90.00
Space group P2_1/m (No. 11)
Inequivalent atoms, fractional coordinates:
Na 0.242 0.250 0.201 (multiplicity 2)
Hf 0.195 0.750 0.669 (multiplicity 2)
Cu 0.418 0.250 0.903 (multiplicity 2)
Se 0.068 0.750 0.364 (multiplicity 2)
Se 0.239 0.750 0.953 (multiplicity 2)
Se 0.428 0.250 0.651 (multiplicity 2)

---

3.
Material: NaHfCuTe2Se
Method: DFT, PBE
State: relaxed

Summary:
total moment: 0.0 μB per formula unit
E_tot: -4.914 eV/atom

Unit cell a=3.990 b=14.546 c=10.288 alpha=90.00 beta=90.00 gamma=90.00
Space group Cmcm (No. 63)
Inequivalent atoms, fractional coordinates:
Na 0.000 0.242 0.250 (multiplicity 4)
Hf 0.000 0.500 0.000 (multiplicity 4)
Cu 0.000 0.031 0.750 (multiplicity 4)
Te 0.000 0.140 0.551 (multiplicity 8)
Se 0.000 0.432 0.750 (multiplicity 4)

---

4.
Material: NaHfCuTe3
Method: DFT, PBE
State: relaxed

Summary:
distance to the lowest polymorph of the same formula: 18 meV/atom
total moment: 0.0 μB per formula unit

Unit cell a=4.033 b=14.675 c=10.808 alpha=90.00 beta=90.00 gamma=90.00
Space group Cmcm (No. 63)
Inequivalent atoms, fractional coordinates:
Na 0.000 0.241 0.250 (multiplicity 4)
Hf 0.000 0.000 0.000 (multiplicity 4)
Cu 0.000 0.468 0.750 (multiplicity 4)
Te 0.000 0.082 0.750 (multiplicity 4)
Te 0.000 0.364 0.555 (multiplicity 8)

---

5.
Material: NaHfCuTe3
Method: DFT, PBE
State: relaxed

Summary:
distance to the lowest polymorph of the same formula: 17 meV/atom
total moment: 0.0 μB per formula unit

Unit cell a=10.865 b=4.042 c=14.531 alpha=90.00 beta=90.00 gamma=90.00
Space group Pnma (No. 62)
Inequivalent atoms, fractional coordinates:
Na 0.228 0.250 0.014 (multiplicity 4)
Hf 0.029 0.750 0.748 (multiplicity 4)
Cu 0.244 0.750 0.218 (multiplicity 4)
Te 0.041 0.750 0.118 (multiplicity 4)
Te 0.069 0.250 0.609 (multiplicity 4)
Te 0.230 0.250 0.331 (multiplicity 4)

---

6.
Material: NaHfCuTe3
Method: DFT, PBE
State: relaxed

Summary:
distance to the lowest polymorph of the same formula: 0 meV/atom
total moment: 0.0 μB per formula unit

Unit cell a=8.279 b=4.060 c=10.273 alpha=90.00 beta=108.64 gamma=90.00
Space group P2_1/m (No. 11)
Inequivalent atoms, fractional coordinates:
Na 0.227 0.250 0.204 (multiplicity 2)
Hf 0.204 0.750 0.675 (multiplicity 2)
Cu 0.417 0.250 0.902 (multiplicity 2)
Te 0.065 0.750 0.368 (multiplicity 2)
Te 0.243 0.750 0.958 (multiplicity 2)
Te 0.438 0.250 0.653 (multiplicity 2)

---

7.
Material: NaHfCuTe3
Method: DFT, PBE
State: relaxed

Summary:
distance to the lowest polymorph of the same formula: 107 meV/atom
total moment: 0.0 μB per formula unit

Unit cell a=8.323 b=4.314 c=17.175 alpha=90.00 beta=90.00 gamma=90.00
Space group Pnma (No. 62)
Inequivalent atoms, fractional coordinates:
Na 0.110 0.250 0.195 (multiplicity 4)
Hf 0.243 0.250 0.952 (multiplicity 4)
Cu 0.014 0.750 0.329 (multiplicity 4)
Te 0.002 0.250 0.417 (multiplicity 4)
Te 0.126 0.750 0.052 (multiplicity 4)
Te 0.183 0.250 0.789 (multiplicity 4)

---

8.
Material: NaHfCuTe3
Method: DFT, PBE
State: relaxed

Summary:
distance to the lowest polymorph of the same formula: 105 meV/atom
total moment: 0.0 μB per formula unit

Unit cell a=12.490 b=4.147 c=12.200 alpha=90.00 beta=90.00 gamma=90.00
Space group Pnma (No. 62)
Inequivalent atoms, fractional coordinates:
Na 0.201 0.250 0.028 (multiplicity 4)
Hf 0.054 0.250 0.322 (multiplicity 4)
Cu 0.238 0.750 0.212 (multiplicity 4)
Te 0.041 0.750 0.152 (multiplicity 4)
Te 0.088 0.250 0.577 (multiplicity 4)
Te 0.224 0.750 0.834 (multiplicity 4)

---

9.
Material: HfNbCu2
Method: DFT, PBE
State: relaxed

Summary:
total moment: 3.0 μB per formula unit
ΔE_f: 358 meV per atom

Unit cell a=6.392 b=6.392 c=6.392 alpha=90.00 beta=90.00 gamma=90.00
Space group F-43m (No. 216)
Inequivalent atoms, fractional coordinates:
Hf 0.000 0.000 0.000 (multiplicity 4)
Nb 0.250 0.250 0.750 (multiplicity 4)
Cu 0.000 0.000 0.500 (multiplicity 4)
Cu 0.250 0.250 0.250 (multiplicity 4)

---

10.
Material: HfNbCuSb
Method: DFT, PBE
State: relaxed

Summary:
distance to the lowest polymorph of the same formula: 0 meV/atom
total moment: 0.0 μB per formula unit

Unit cell a=6.662 b=6.662 c=6.662 alpha=90.00 beta=90.00 gamma=90.00
Space group F-43m (No. 216)
Inequivalent atoms, fractional coordinates:
Hf 0.000 0.000 0.000 (multiplicity 4)
Nb 0.250 0.250 0.250 (multiplicity 4)
Cu 0.250 0.250 0.750 (multiplicity 4)
Sb 0.000 0.000 0.500 (multiplicity 4)

---

11.
Material: HfNbCu2Si4
Method: DFT, PBE
State: relaxed

Summary:
total moment: 0.0 μB per formula unit
E_tot: -6.603 eV/atom

Unit cell a=3.628 b=3.628 c=8.899 alpha=90.00 beta=90.00 gamma=90.00
Space group P4mm (No. 99)
Inequivalent atoms, fractional coordinates:
Hf 0.000 0.000 0.000 (multiplicity 1)
Nb 0.500 0.500 0.541 (multiplicity 1)
Cu 0.000 0.500 0.271 (multiplicity 2)
Si 0.000 0.000 0.451 (multiplicity 1)
Si 0.000 0.500 0.765 (multiplicity 2)
Si 0.500 0.500 0.092 (multiplicity 1)

---

12.
Material: HfNbCuSi2
Method: DFT, PBE
State: relaxed

Summary:
total moment: 0.0 μB per formula unit
E_tot: -7.527 eV/atom

Unit cell a=9.702 b=3.826 c=9.385 alpha=90.00 beta=118.63 gamma=90.00
Space group C2/m (No. 12)
Inequivalent atoms, fractional coordinates:
Hf 0.013 0.000 0.182 (multiplicity 4)
Nb 0.192 0.000 0.604 (multiplicity 4)
Cu 0.208 0.500 0.844 (multiplicity 4)
Si 0.034 0.500 0.395 (multiplicity 4)
Si 0.143 0.500 0.067 (multiplicity 4)

---

13.
Material: HfNbCu2Sn4
Method: DFT, PBE
State: relaxed

Summary:
total moment: 0.0 μB per formula unit
E_tot: -5.543 eV/atom

Unit cell a=4.108 b=4.108 c=9.247 alpha=90.00 beta=90.00 gamma=90.00
Space group P4mm (No. 99)
Inequivalent atoms, fractional coordinates:
Hf 0.000 0.000 0.000 (multiplicity 1)
Nb 0.500 0.500 0.515 (multiplicity 1)
Cu 0.000 0.500 0.255 (multiplicity 2)
Sn 0.000 0.000 0.435 (multiplicity 1)
Sn 0.000 0.500 0.751 (multiplicity 2)
Sn 0.500 0.500 0.075 (multiplicity 1)

---

14.
Material: Nd2HfCuSb4
Method: DFT, PBE
State: relaxed

Summary:
total moment: 0.0 μB per formula unit
E_tot: -5.610 eV/atom

Unit cell a=4.336 b=4.336 c=10.940 alpha=90.00 beta=90.00 gamma=90.00
Space group P-4m2 (No. 115)
Inequivalent atoms, fractional coordinates:
Nd 0.000 0.500 0.225 (multiplicity 2)
Hf 0.500 0.500 0.500 (multiplicity 1)
Cu 0.000 0.000 0.500 (multiplicity 1)
Sb 0.000 0.000 0.000 (multiplicity 1)
Sb 0.000 0.500 0.668 (multiplicity 2)
Sb 0.500 0.500 0.000 (multiplicity 1)

---

15.
Material: NdHfCu2Sn2
Method: DFT, PBE
State: relaxed

Summary:
total moment: 0.0 μB per formula unit
E_tot: -5.485 eV/atom

Unit cell a=4.5010 b=4.5010 c=7.2046 alpha=90.00 beta=90.00 gamma=120.00
Space group P3m1 (No. 156)
Inequivalent atoms, fractional coordinates:
Nd 0.0000 0.0000 0.0000 (multiplicity 1)
Hf 0.0000 0.0000 0.5000 (multiplicity 1)
Cu 0.3333 0.6667 0.3338 (multiplicity 1)
Cu 0.6667 0.3333 0.6692 (multiplicity 1)
Sn 0.3333 0.6667 0.7336 (multiplicity 1)
Sn 0.6667 0.3333 0.2661 (multiplicity 1)

---

16.
Material: HfCu2Ni
Method: DFT, PBE
State: relaxed

Summary:
total moment: 0.0 μB per formula unit
ΔE_f: -188 meV per atom

Unit cell a=6.047 b=6.047 c=6.047 alpha=90.00 beta=90.00 gamma=90.00
Space group F-43m (No. 216)
Inequivalent atoms, fractional coordinates:
Hf 0.000 0.000 0.000 (multiplicity 4)
Cu 0.000 0.000 0.500 (multiplicity 4)
Cu 0.250 0.250 0.750 (multiplicity 4)
Ni 0.250 0.250 0.250 (multiplicity 4)

---

17.
Material: HfCuNi
Method: DFT, PBE
State: relaxed

Summary:
total moment: 0.0 μB per formula unit
ΔE_f: 338 meV per atom

Unit cell a=5.952 b=5.952 c=5.952 alpha=90.00 beta=90.00 gamma=90.00
Space group F-43m (No. 216)
Inequivalent atoms, fractional coordinates:
Hf 0.000 0.000 0.000 (multiplicity 4)
Cu 0.250 0.250 0.750 (multiplicity 4)
Ni 0.250 0.250 0.250 (multiplicity 4)

---

18.
Material: HfCuNi
Method: DFT, PBE
State: relaxed

Summary:
total moment: 0.0 μB per formula unit
ΔE_f: -53 meV per atom

Unit cell a=5.823 b=5.823 c=5.823 alpha=90.00 beta=90.00 gamma=90.00
Space group F-43m (No. 216)
Inequivalent atoms, fractional coordinates:
Hf 0.000 0.000 0.000 (multiplicity 4)
Cu 0.000 0.000 0.500 (multiplicity 4)
Ni 0.250 0.250 0.750 (multiplicity 4)

---

19.
Material: Hf4CuNiP2
Method: DFT, PBE
State: relaxed

Summary:
total moment: 0.0 μB per formula unit
E_tot: -8.367 eV/atom

Unit cell a=5.203 b=3.596 c=7.448 alpha=90.00 beta=110.10 gamma=90.00
Space group Pm (No. 6)
Inequivalent atoms, fractional coordinates:
Hf 0.000 0.000 0.000 (multiplicity 1)
Hf 0.054 0.500 0.637 (multiplicity 1)
Hf 0.493 0.000 0.489 (multiplicity 1)
Hf 0.559 0.500 0.144 (multiplicity 1)
Cu 0.417 0.000 0.855 (multiplicity 1)
Ni 0.131 0.500 0.279 (multiplicity 1)
P 0.642 0.500 0.775 (multiplicity 1)
P 0.915 0.000 0.358 (multiplicity 1)

---

20.
Material: HfCuNiPb
Method: DFT, PBE
State: relaxed

Summary:
distance to the lowest polymorph of the same formula: 232 meV/atom
total moment: 0.0 μB per formula unit

Unit cell a=6.507 b=6.507 c=6.507 alpha=90.00 beta=90.00 gamma=90.00
Space group F-43m (No. 216)
Inequivalent atoms, fractional coordinates:
Hf 0.000 0.000 0.000 (multiplicity 4)
Cu 0.250 0.250 0.750 (multiplicity 4)
Ni 0.000 0.000 0.500 (multiplicity 4)
Pb 0.250 0.250 0.250 (multiplicity 4)

---

21.
Material: HfCuNiPb
Method: DFT, PBE
State: relaxed

Summary:
distance to the lowest polymorph of the same formula: 216 meV/atom
total moment: 0.0 μB per formula unit

Unit cell a=6.520 b=6.520 c=6.520 alpha=90.00 beta=90.00 gamma=90.00
Space group F-43m (No. 216)
Inequivalent atoms, fractional coordinates:
Hf 0.000 0.000 0.000 (multiplicity 4)
Cu 0.000 0.000 0.500 (multiplicity 4)
Ni 0.250 0.250 0.750 (multiplicity 4)
Pb 0.250 0.250 0.250 (multiplicity 4)

---

22.
Material: HfCuNiPb
Method: DFT, PBE
State: relaxed

Summary:
distance to the lowest polymorph of the same formula: 0 meV/atom
total moment: 0.0 μB per formula unit

Unit cell a=6.450 b=6.450 c=6.450 alpha=90.00 beta=90.00 gamma=90.00
Space group F-43m (No. 216)
Inequivalent atoms, fractional coordinates:
Hf 0.000 0.000 0.000 (multiplicity 4)
Cu 0.250 0.250 0.750 (multiplicity 4)
Ni 0.250 0.250 0.250 (multiplicity 4)
Pb 0.000 0.000 0.500 (multiplicity 4)

---

no.,density (g/cm3)
1,6.239
2,6.258
3,6.666
4,6.727
5,6.743
6,6.577
7,6.977
8,6.808
9,10.134
10,10.259
11,7.244
12,8.497
13,9.291
14,8.216
15,9.028
16,10.943
17,9.472
18,10.119
19,11.397
20,12.243
21,12.172
22,12.574